VASP calculation (PBE) on an optimized crystal structure of MgCu2W.

Total DFT energy (no corrections) = -21.6 eV for the cell shown
Crystal system = monoclinic
Calculated formation energy = 1.15 eV/f.u.
Mass density = 9.6 Mg/m³

Structure (POSCAR):
```
MgCu2W
1.0
-0.177 2.577 3.366
-2.419 0.855 -0.782
-3.378 -3.286 2.338
Cu Mg W
2 1 1
direct
0.000 0.193 0.981 Cu
0.500 0.058 0.267 Cu
0.000 0.461 0.456 Mg
0.500 0.788 0.795 W
```

=====

VASP calculation (PBE) on an optimized crystal structure of Pm4PSeI2.

Total DFT energy (no corrections) = -41.8 eV for the cell shown
Crystal system = monoclinic
E_form (uncorrected) = -1.35 eV/atom
Mass density = 6.6 Mg/m³

Structure (POSCAR):
```
Pm4PSeI2
1.0
4.245 0.000 0.000
0.000 7.380 0.136
0.000 -2.584 7.500
Pm P Se I
4 1 1 2
direct
0.500 0.243 0.189 Pm
0.500 0.757 0.811 Pm
0.000 0.282 0.812 Pm
0.000 0.718 0.188 Pm
0.500 0.500 0.000 P
0.000 0.000 0.000 Se
0.500 0.000 0.500 I
0.000 0.500 0.500 I
```

=====

VASP calculation (PBE) on an optimized crystal structure of Sr2ZrSc.

Total DFT energy (no corrections) = -16.0 eV for the cell shown
Crystal system = orthorhombic
Calculated formation energy = 2.28 eV/f.u.
Offset from the most stable computed form = 292.4 meV per atom
Mass density = 3.9 Mg/m³

Structure (POSCAR):
```
Sr2ZrSc
1.0
3.839 0.000 0.000
0.000 5.766 0.000
0.000 0.000 6.017
Sc Sr Zr
1 2 1
direct
0.000 0.500 0.500 Sc
0.000 0.000 0.000 Sr
0.500 0.500 0.000 Sr
0.500 0.000 0.500 Zr
```

=====

VASP calculation (PBE) on an optimized crystal structure of Hf3As.

Total DFT energy (no corrections) = -296.8 eV for the cell shown
Crystal system = monoclinic
Calculated formation energy = -2.59 eV/f.u.
Mass density = 12.6 Mg/m³

Structure (POSCAR):
```
Hf3As
1.0
8.189 -0.002 0.000
6.405 5.102 0.000
0.082 0.029 15.401
Hf As
24 8
direct
0.121 0.044 0.808 Hf
0.423 0.461 0.833 Hf
0.956 0.879 0.692 Hf
0.461 0.423 0.333 Hf
0.051 0.471 0.905 Hf
0.539 0.577 0.667 Hf
0.431 0.879 0.989 Hf
0.198 0.703 0.017 Hf
0.569 0.121 0.011 Hf
0.121 0.569 0.511 Hf
0.949 0.529 0.095 Hf
0.879 0.431 0.489 Hf
0.001 0.531 0.301 Hf
0.999 0.469 0.699 Hf
0.802 0.297 0.983 Hf
0.529 0.949 0.595 Hf
0.044 0.121 0.308 Hf
0.703 0.198 0.517 Hf
0.297 0.802 0.483 Hf
0.879 0.956 0.192 Hf
0.469 0.999 0.199 Hf
0.577 0.539 0.167 Hf
0.531 0.001 0.801 Hf
0.471 0.051 0.405 Hf
0.335 0.421 0.167 As
0.894 0.937 0.872 As
0.106 0.063 0.128 As
0.665 0.579 0.833 As
0.579 0.665 0.333 As
0.421 0.335 0.667 As
0.937 0.894 0.372 As
0.063 0.106 0.628 As
```

=====

VASP calculation (PBE) on an optimized crystal structure of Pm5NdSmY2.

Total DFT energy (no corrections) = -89.8 eV for the cell shown
Crystal system = orthorhombic
Calculated formation energy = 1.28 eV/f.u.
Mass density = 6.4 Mg/m³

Structure (POSCAR):
```
Pm5NdSmY2
1.0
-1.585 1.956 -5.146
-7.604 -6.740 2.968
-5.287 8.026 4.680
Pm Nd Sm Y
10 2 2 4
direct
0.392 0.784 0.026 Pm
0.718 0.437 0.810 Pm
0.478 0.955 0.741 Pm
0.297 0.593 0.705 Pm
0.982 0.964 0.524 Pm
0.608 0.216 0.526 Pm
0.282 0.563 0.310 Pm
0.522 0.045 0.241 Pm
0.703 0.407 0.205 Pm
0.018 0.036 0.024 Pm
0.586 0.173 0.952 Nd
0.414 0.827 0.452 Nd
0.798 0.596 0.510 Sm
0.202 0.404 0.010 Sm
0.883 0.766 0.824 Y
0.112 0.224 0.733 Y
0.117 0.234 0.324 Y
0.888 0.776 0.233 Y
```

=====

VASP calculation (PBE) on an optimized crystal structure of AgHgTe2N.

Total DFT energy (no corrections) = -12.6 eV for the cell shown
Crystal system = tetragonal
E_form (uncorrected) = 1.03 eV/atom
Offset from the most stable computed form = 0.0 meV per atom
Mass density = 7.5 Mg/m³

Structure (POSCAR):
```
AgHgTe2N
1.0
-1.589 -3.238 -4.427
4.215 -3.670 1.171
-2.423 -2.031 2.355
Te Hg Ag N
2 1 1 1
direct
0.000 0.500 0.000 Te
0.500 0.000 0.000 Te
0.500 0.500 0.500 Hg
0.000 0.000 0.000 Ag
0.000 0.000 0.500 N
```

=====

VASP calculation (PBE) on an optimized crystal structure of ZnCdSiIr.

Total DFT energy (no corrections) = -16.6 eV for the cell shown
Crystal system = triclinic
E_form (uncorrected) = -0.04 eV/atom
Offset from the most stable computed form = 181.1 meV per atom
Mass density = 8.9 Mg/m³

Structure (POSCAR):
```
ZnCdSiIr
1.0
2.898 -0.007 -0.003
-1.391 3.337 -0.001
-0.039 -1.249 7.672
Zn Ir Si Cd
1 1 1 1
direct
0.867 0.748 0.578 Zn
0.498 0.025 0.338 Ir
0.170 0.384 0.178 Si
0.610 0.241 0.856 Cd
```

=====

VASP calculation (PBE) on an optimized crystal structure of SrEuZnBi.

Total DFT energy (no corrections) = -19.2 eV for the cell shown
Crystal system = cubic
Calculated formation energy = -2.09 eV/f.u.
Mass density = 6.7 Mg/m³

Structure (POSCAR):
```
SrEuZnBi
1.0
-1.239 -3.158 4.527
4.144 -2.529 2.905
1.348 1.830 5.181
Eu Sr Zn Bi
1 1 1 1
direct
0.750 0.750 0.750 Eu
0.250 0.250 0.250 Sr
0.000 0.000 0.000 Zn
0.500 0.500 0.500 Bi
```

=====

VASP calculation (PBE) on an optimized crystal structure of Be2CoRu.

Total DFT energy (no corrections) = -23.2 eV for the cell shown
Crystal system = trigonal
Calculated formation energy = 0.63 eV/f.u.
Mass density = 6.7 Mg/m³

Structure (POSCAR):
```
Be2CoRu
1.0
7.888 -0.002 -0.001
7.470 2.532 -0.001
7.470 1.230 2.212
Ru Co Be
1 1 2
direct
0.748 0.748 0.748 Ru
0.505 0.505 0.505 Co
0.998 0.998 0.998 Be
0.248 0.248 0.248 Be
```

=====

VASP calculation (PBE) on an optimized crystal structure of NaDyInBi.

Total DFT energy (no corrections) = -13.7 eV for the cell shown
Crystal system = cubic
Calculated formation energy = -1.16 eV/f.u.
Mass density = 7.5 Mg/m³

Structure (POSCAR):
```
NaDyInBi
1.0
5.432 0.000 0.000
2.716 4.704 0.000
2.716 1.568 4.435
Na In Bi Dy
1 1 1 1
direct
0.750 0.750 0.750 Na
0.000 0.000 0.000 In
0.500 0.500 0.500 Bi
0.250 0.250 0.250 Dy
```

=====

VASP calculation (PBE) on an optimized crystal structure of TiTcGe2.

Total DFT energy (no corrections) = -28.4 eV for the cell shown
Crystal system = cubic
Calculated formation energy = -0.91 eV/f.u.
Offset from the most stable computed form = 15.5 meV per atom
Mass density = 8.0 Mg/m³

Structure (POSCAR):
```
TiTcGe2
1.0
-3.892 0.576 1.993
-2.529 3.455 -1.058
-3.742 -0.614 -2.252
Ge Tc Ti
2 1 1
direct
0.250 0.250 0.250 Ge
0.750 0.750 0.750 Ge
0.500 0.500 0.500 Tc
0.000 0.000 0.000 Ti
```

=====

VASP calculation (PBE) on an optimized crystal structure of La6Co2AgCl3.

Total DFT energy (no corrections) = -62.8 eV for the cell shown
Crystal system = monoclinic
E_form (uncorrected) = -0.89 eV/atom
Mass density = 5.6 Mg/m³

Structure (POSCAR):
```
La6Co2AgCl3
1.0
-1.056 1.153 3.898
-8.722 -1.851 -1.816
4.716 -8.386 1.495
La Co Ag Cl
6 2 1 3
direct
0.333 0.877 0.667 La
0.683 0.562 0.366 La
0.667 0.123 0.333 La
0.023 0.261 0.046 La
0.977 0.739 0.954 La
0.317 0.438 0.634 La
0.833 0.664 0.666 Co
0.167 0.336 0.334 Co
0.500 0.000 0.000 Ag
0.500 0.500 0.000 Cl
0.834 0.164 0.668 Cl
0.166 0.836 0.332 Cl
```

=====

VASP calculation (PBE) on an optimized crystal structure of EuThPb2.

Total DFT energy (no corrections) = -26.5 eV for the cell shown
Crystal system = tetragonal
Calculated formation energy = -1.41 eV/f.u.
Offset from the most stable computed form = 58.2 meV per atom
Mass density = 10.8 Mg/m³

Structure (POSCAR):
```
EuThPb2
1.0
-2.064 4.024 0.397
-0.729 0.133 -5.143
-4.570 -2.401 0.586
Pb Eu Th
2 1 1
direct
0.000 0.000 0.500 Pb
0.000 0.500 0.000 Pb
0.500 0.500 0.500 Eu
0.500 0.000 0.000 Th
```

=====

VASP calculation (PBE) on an optimized crystal structure of Fe2Te2Br.

Total DFT energy (no corrections) = -43.4 eV for the cell shown
Crystal system = tetragonal
E_form (uncorrected) = 0.63 eV/atom
Offset from the most stable computed form = 722.1 meV per atom
Mass density = 6.8 Mg/m³

Structure (POSCAR):
```
Fe2Te2Br
1.0
-2.873 -7.868 -0.076
5.498 -2.066 5.972
-2.078 0.738 2.169
Te Fe Br
4 4 2
direct
0.364 0.864 0.000 Te
0.864 0.636 0.000 Te
0.636 0.136 0.000 Te
0.136 0.364 0.000 Te
0.111 0.611 0.500 Fe
0.611 0.889 0.500 Fe
0.889 0.389 0.500 Fe
0.389 0.111 0.500 Fe
0.000 0.000 0.000 Br
0.500 0.500 0.000 Br
```

=====

VASP calculation (PBE) on an optimized crystal structure of SrCaIr.

Total DFT energy (no corrections) = -12.9 eV for the cell shown
Crystal system = tetragonal
Calculated formation energy = -0.40 eV/f.u.
Offset from the most stable computed form = 8.9 meV per atom
Mass density = 5.8 Mg/m³

Structure (POSCAR):
```
SrCaIr
1.0
-6.274 -3.990 -0.865
-3.652 -6.423 -1.202
-0.707 -1.222 3.304
Sr Ca Ir
1 1 1
direct
0.713 0.713 0.287 Sr
0.948 0.948 0.052 Ca
0.339 0.339 0.661 Ir
```

=====

VASP calculation (PBE) on an optimized crystal structure of Ac12Pd5C3.

Total DFT energy (no corrections) = -394.1 eV for the cell shown
Crystal system = cubic
Calculated formation energy = 4.40 eV/f.u.
Mass density = 8.3 Mg/m³

Structure (POSCAR):
```
Ac12Pd5C3
1.0
-13.323 -3.785 -5.953
10.064 -10.843 -2.902
-1.447 1.652 14.915
C Pd Ac
12 20 48
direct
0.750 0.375 0.125 C
0.875 0.750 0.125 C
0.375 0.750 0.625 C
0.250 0.125 0.375 C
0.875 0.125 0.250 C
0.375 0.625 0.250 C
0.625 0.375 0.750 C
0.125 0.875 0.750 C
0.750 0.875 0.625 C
0.625 0.250 0.375 C
0.125 0.250 0.875 C
0.250 0.625 0.875 C
0.125 0.375 0.250 Pd
0.000 0.500 0.000 Pd
0.000 0.000 0.000 Pd
0.375 0.250 0.125 Pd
0.500 0.000 0.500 Pd
0.500 0.500 0.000 Pd
0.125 0.750 0.375 Pd
0.750 0.125 0.875 Pd
0.750 0.625 0.375 Pd
0.375 0.125 0.750 Pd
0.625 0.875 0.250 Pd
0.500 0.500 0.500 Pd
0.500 0.000 0.000 Pd
0.000 0.000 0.500 Pd
0.250 0.375 0.625 Pd
0.250 0.875 0.125 Pd
0.000 0.500 0.500 Pd
0.875 0.250 0.625 Pd
0.625 0.750 0.875 Pd
0.875 0.625 0.750 Pd
0.733 0.126 0.060 Ac
0.328 0.560 0.434 Ac
0.940 0.374 0.267 Ac
0.560 0.233 0.126 Ac
0.606 0.733 0.672 Ac
0.940 0.566 0.172 Ac
0.328 0.767 0.394 Ac
0.066 0.894 0.126 Ac
0.566 0.940 0.672 Ac
0.733 0.606 0.172 Ac
0.767 0.440 0.374 Ac
0.828 0.934 0.060 Ac
0.126 0.733 0.560 Ac
0.374 0.434 0.106 Ac
0.106 0.934 0.374 Ac
0.394 0.126 0.566 Ac
0.106 0.172 0.233 Ac
0.440 0.672 0.066 Ac
0.828 0.894 0.267 Ac
0.126 0.394 0.066 Ac
0.374 0.940 0.767 Ac
0.566 0.626 0.394 Ac
0.934 0.828 0.560 Ac
0.767 0.328 0.894 Ac
0.434 0.374 0.606 Ac
0.066 0.172 0.440 Ac
0.233 0.672 0.106 Ac
0.172 0.106 0.733 Ac
0.626 0.060 0.233 Ac
0.874 0.606 0.934 Ac
0.560 0.328 0.934 Ac
0.606 0.874 0.434 Ac
0.894 0.828 0.767 Ac
0.894 0.066 0.626 Ac
0.874 0.267 0.440 Ac
0.172 0.066 0.940 Ac
0.626 0.566 0.894 Ac
0.434 0.060 0.328 Ac
0.267 0.394 0.828 Ac
0.233 0.560 0.626 Ac
0.934 0.106 0.874 Ac
0.672 0.233 0.606 Ac
0.440 0.767 0.874 Ac
0.060 0.434 0.828 Ac
0.394 0.267 0.328 Ac
0.060 0.626 0.733 Ac
0.672 0.440 0.566 Ac
0.267 0.874 0.940 Ac
```

=====

VASP calculation (PBE) on an optimized crystal structure of TaCr2Cl.

Total DFT energy (no corrections) = -32.6 eV for the cell shown
Crystal system = monoclinic
E_form (uncorrected) = 0.09 eV/atom
Offset from the most stable computed form = 0.0 meV per atom
Mass density = 8.2 Mg/m³

Structure (POSCAR):
```
TaCr2Cl
1.0
-2.074 -1.521 -1.465
-0.972 -1.159 2.579
-4.677 5.633 0.773
Cr Cl Ta
2 1 1
direct
0.000 0.751 0.056 Cr
0.500 0.250 0.233 Cr
0.500 0.749 0.748 Cl
0.000 0.750 0.463 Ta
```

=====

VASP calculation (PBE) on an optimized crystal structure of CsAg2Os.

Total DFT energy (no corrections) = -11.7 eV for the cell shown
Crystal system = cubic
Calculated formation energy = 6.13 eV/f.u.
Mass density = 9.0 Mg/m³

Structure (POSCAR):
```
CsAg2Os
1.0
3.086 -3.658 2.018
-0.800 -1.689 4.847
-1.838 -4.790 0.811
Cs Os Ag
1 1 2
direct
0.000 0.000 0.000 Cs
0.500 0.500 0.500 Os
0.250 0.250 0.250 Ag
0.750 0.750 0.750 Ag
```

=====

VASP calculation (PBE) on an optimized crystal structure of SnHg2AuI.

Total DFT energy (no corrections) = -9.7 eV for the cell shown
Crystal system = tetragonal
E_form (uncorrected) = -0.05 eV/atom
Mass density = 8.7 Mg/m³

Structure (POSCAR):
```
SnHg2AuI
1.0
-2.650 -1.371 -4.553
4.634 0.428 -2.825
1.067 -5.240 0.957
I Au Hg Sn
1 1 2 1
direct
0.500 0.500 0.500 I
0.000 0.000 0.000 Au
0.000 0.500 0.000 Hg
0.500 0.000 0.000 Hg
0.000 0.000 0.500 Sn
```

=====

VASP calculation (PBE) on an optimized crystal structure of K3DyBr8.

Total DFT energy (no corrections) = -37.5 eV for the cell shown
Crystal system = tetragonal
E_form (uncorrected) = -1.35 eV/atom
Mass density = 3.5 Mg/m³

Structure (POSCAR):
```
K3DyBr8
1.0
7.443 0.000 0.000
0.000 7.443 0.000
-3.722 -3.722 7.901
K Dy Br
3 1 8
direct
0.750 0.250 0.500 K
0.500 0.500 0.000 K
0.250 0.750 0.500 K
0.000 0.000 0.000 Dy
0.339 0.339 0.224 Br
0.339 0.885 0.224 Br
0.115 0.661 0.776 Br
0.115 0.115 0.776 Br
0.885 0.885 0.224 Br
0.885 0.339 0.224 Br
0.661 0.115 0.776 Br
0.661 0.661 0.776 Br
```

=====

VASP calculation (PBE) on an optimized crystal structure of FeRe2Cl.

Total DFT energy (no corrections) = -30.9 eV for the cell shown
Crystal system = cubic
E_form (uncorrected) = 1.08 eV/atom
Offset from the most stable computed form = 771.7 meV per atom
Mass density = 13.0 Mg/m³

Structure (POSCAR):
```
FeRe2Cl
1.0
4.377 0.000 0.000
2.189 3.791 0.000
2.189 1.264 3.574
Re Fe Cl
2 1 1
direct
0.000 0.000 0.000 Re
0.250 0.250 0.250 Re
0.750 0.750 0.750 Fe
0.500 0.500 0.500 Cl
```

=====

VASP calculation (PBE) on an optimized crystal structure of ReAgCl.

Total DFT energy (no corrections) = -15.2 eV for the cell shown
Crystal system = orthorhombic
E_form (uncorrected) = 0.65 eV/atom
Offset from the most stable computed form = 92.1 meV per atom
Mass density = 10.1 Mg/m³

Structure (POSCAR):
```
ReAgCl
1.0
7.678 0.026 -0.015
6.804 2.848 -0.001
0.874 -1.353 2.477
Re Ag Cl
1 1 1
direct
0.322 0.322 0.678 Re
0.989 0.989 0.011 Ag
0.689 0.689 0.311 Cl
```